(1)
# La3Bi2P (GGA-PBE, relaxed)
# Raw total energy = -561.62 eV/cell
# Energy relative to the elements = -1.191 eV per atom
# Volume = 33.52 Å³ per atom
# Size of the total moment = 0.00 μB per atom
# DOS(E_F) = 0.8 states/eV/f.u.
data_La3Bi2P
_chemical_formula_sum 'La48 Bi32 P16'
_symmetry_space_group_name_H-M 'F d d d'
_symmetry_Int_Tables_number 70
_cell_length_a 9.156
_cell_length_b 12.914
_cell_length_c 27.213
_cell_angle_alpha 90.00
_cell_angle_beta 90.00
_cell_angle_gamma 90.00
loop_
_symmetry_equiv_pos_as_xyz
'x,y,z'
'-x,-y,-z'
'-x+1/4,-y+1/4,z'
'x+1/4,y+1/4,-z'
'x,-y+1/4,-z+1/4'
'-x,y+1/4,z+1/4'
'-x+1/4,y,-z+1/4'
'x+1/4,-y,z+1/4'
'x,y+1/2,z+1/2'
'-x,-y+1/2,-z+1/2'
'-x+1/4,-y+3/4,z+1/2'
'x+1/4,y+3/4,-z+1/2'
'x,-y+3/4,-z+3/4'
'-x,y+3/4,z+3/4'
'-x+1/4,y+1/2,-z+3/4'
'x+1/4,-y+1/2,z+3/4'
'x+1/2,y,z+1/2'
'-x+1/2,-y,-z+1/2'
'-x+3/4,-y+1/4,z+1/2'
'x+3/4,y+1/4,-z+1/2'
'x+1/2,-y+1/4,-z+3/4'
'-x+1/2,y+1/4,z+3/4'
'-x+3/4,y,-z+3/4'
'x+3/4,-y,z+3/4'
'x+1/2,y+1/2,z'
'-x+1/2,-y+1/2,-z'
'-x+3/4,-y+3/4,z'
'x+3/4,y+3/4,-z'
'x+1/2,-y+3/4,-z+1/4'
'-x+1/2,y+3/4,z+1/4'
'-x+3/4,y+1/2,-z+1/4'
'x+3/4,-y+1/2,z+1/4'
loop_
_atom_site_label
_atom_site_type_symbol
_atom_site_fract_x
_atom_site_fract_y
_atom_site_fract_z
La1 La 0.102 0.375 0.375
La2 La 0.115 0.366 0.213
Bi1 Bi 0.125 0.125 0.377
Bi2 Bi 0.125 0.125 0.545
P1 P 0.125 0.125 0.041

***

(2)
# LaBiP2 (GGA-PBE, relaxed)
# Raw total energy = -60.64 eV/cell
# Energy relative to the elements = -0.146 eV per atom
# Volume = 34.66 Å³ per atom
# Size of the total moment = 0.00 μB per atom
# DOS(E_F) = 1.9 states/eV/f.u.
data_LaBiP2
_chemical_formula_sum 'La3 Bi3 P6'
_symmetry_space_group_name_H-M 'R -3 m'
_symmetry_Int_Tables_number 166
_symmetry_space_group_name_Hall '-R 3 2"'
_cell_length_a 4.4848
_cell_length_b 4.4848
_cell_length_c 23.8803
_cell_angle_alpha 90.00
_cell_angle_beta 90.00
_cell_angle_gamma 120.00
loop_
_atom_site_label
_atom_site_type_symbol
_atom_site_fract_x
_atom_site_fract_y
_atom_site_fract_z
La1 La 0.0000 0.0000 0.0000
Bi1 Bi 0.0000 0.0000 0.5000
P1 P 0.0000 0.0000 0.3913

***

(3)
# La4Bi3P (GGA-PBE, relaxed)
# Raw total energy = -91.75 eV/cell
# Energy relative to the elements = -1.139 eV per atom
# Volume = 34.44 Å³ per atom
# Size of the total moment = 0.00 μB per atom
# DOS(E_F) = 1.1 states/eV/f.u.
data_La4Bi3P
_chemical_formula_sum 'La8 Bi6 P2'
_symmetry_space_group_name_H-M 'C m m m'
_symmetry_Int_Tables_number 65
_symmetry_space_group_name_Hall '-C 2 2'
_cell_length_a 9.237
_cell_length_b 13.013
_cell_length_c 4.584
_cell_angle_alpha 90.00
_cell_angle_beta 90.00
_cell_angle_gamma 90.00
loop_
_atom_site_label
_atom_site_type_symbol
_atom_site_fract_x
_atom_site_fract_y
_atom_site_fract_z
La1 La 0.000 0.240 0.000
La2 La 0.232 0.000 0.500
Bi1 Bi 0.000 0.500 0.000
Bi2 Bi 0.250 0.250 0.500
P1 P 0.000 0.000 0.000

***

(4)
# La2Bi2P (GGA-PBE, relaxed)
# Raw total energy = -51.25 eV/cell
# Energy relative to the elements = -0.519 eV per atom
# Volume = 31.26 Å³ per atom
# ΔE to the lowest computed polymorph = 0.2500 eV/atom
# Size of the total moment = 0.00 μB per atom
# DOS(E_F) = 3.6 states/eV/f.u.
data_La2Bi2P
_chemical_formula_sum 'La4 Bi4 P2'
_symmetry_space_group_name_H-M 'P 4/m b m'
_symmetry_Int_Tables_number 127
_symmetry_space_group_name_Hall '-P 4 2ab'
_cell_length_a 8.266
_cell_length_b 8.266
_cell_length_c 4.576
_cell_angle_alpha 90.00
_cell_angle_beta 90.00
_cell_angle_gamma 90.00
loop_
_atom_site_label
_atom_site_type_symbol
_atom_site_fract_x
_atom_site_fract_y
_atom_site_fract_z
La1 La 0.158 0.342 0.000
Bi1 Bi 0.154 0.654 0.500
P1 P 0.000 0.000 0.500